1.
Density functional theory data (PBE) for a relaxed Zr2CdS4 crystal. Values from VASP.

Geometry as Quantum ESPRESSO input:
```
&SYSTEM
  ibrav = 0, nat = 7, ntyp = 3
/
ATOMIC_SPECIES
Cd 112.41 Cd.upf
S 32.06 S.upf
Zr 91.22 Zr.upf
CELL_PARAMETERS angstrom
-4.368 -5.719 -0.112
-6.945 1.851 -0.376
5.853 1.862 -3.752
ATOMIC_POSITIONS angstrom
Cd 0.000 0.000 0.000
S -6.511 -4.250 -0.244
S -7.745 -0.625 -0.370
S -4.090 -1.465 -2.093
S 1.574 0.465 -2.019
Zr -2.085 -2.896 -2.053
Zr -3.374 0.889 -2.185
```

Values from the calculation:
The value obtained for the distance to the lowest polymorph of the same formula is 0.0 meV/atom. The density comes out at 3.669 g/cm3. The value obtained for the calculated volume is 27.36 Å³/atom. For the electronic total energy, the calculation gives -5.85 eV/atom. As for the symmetry: No. 121.

2.
Density functional theory data (PBE) for a relaxed YAl2Ir crystal. Values from VASP.

Geometry as Quantum ESPRESSO input:
```
&SYSTEM
  ibrav = 0, nat = 4, ntyp = 3
/
ATOMIC_SPECIES
Al 26.98 Al.upf
Ir 192.22 Ir.upf
Y 88.91 Y.upf
CELL_PARAMETERS angstrom
4.321 -1.151 1.265
0.679 -3.077 3.416
1.659 -4.229 -0.978
ATOMIC_POSITIONS angstrom
Al 0.000 0.000 0.000
Al 4.994 -6.343 2.777
Ir 1.665 -2.114 0.926
Y 3.329 -4.229 1.851
```

Values from the calculation:
The density comes out at 7.841 g/cm3. The value obtained for the calculated volume is 17.74 Å³/atom. For the electronic total energy, the calculation gives -6.19 eV/atom. As for the symmetry: No. 216.

3.
Density functional theory data (PBE) for a relaxed HfNbFePb crystal. Values from VASP.

Geometry as Quantum ESPRESSO input:
```
&SYSTEM
  ibrav = 0, nat = 4, ntyp = 4
/
ATOMIC_SPECIES
Fe 55.84 Fe.upf
Hf 178.49 Hf.upf
Nb 92.91 Nb.upf
Pb 207.20 Pb.upf
CELL_PARAMETERS angstrom
0.000 3.317 3.317
3.317 0.000 3.317
3.317 3.317 0.000
ATOMIC_POSITIONS angstrom
Fe 4.975 4.975 4.975
Hf 3.317 3.317 3.317
Nb 1.658 1.658 1.658
Pb 0.000 0.000 0.000
```

Values from the calculation:
The value obtained for the distance to the lowest polymorph of the same formula is 0.0 meV/atom. The density comes out at 12.162 g/cm3. The value obtained for the calculated volume is 18.24 Å³/atom. For the electronic total energy, the calculation gives -7.64 eV/atom. As for the symmetry: No. 216.

4.
Density functional theory data (PBE) for a relaxed PrAgNO crystal. Values from VASP.

Geometry as Quantum ESPRESSO input:
```
&SYSTEM
  ibrav = 0, nat = 16, ntyp = 4
/
ATOMIC_SPECIES
Ag 107.87 Ag.upf
N 14.01 N.upf
O 16.00 O.upf
Pr 140.91 Pr.upf
CELL_PARAMETERS angstrom
-2.835 4.902 3.394
-5.244 -3.341 0.446
1.924 -2.352 5.003
ATOMIC_POSITIONS angstrom
Ag -1.150 -0.121 0.718
Ag -5.989 0.150 2.706
Ag -0.942 0.007 4.122
Ag -5.780 0.278 6.110
N -1.213 2.168 4.020
N -4.794 -3.468 2.748
N -0.899 2.112 7.297
N -4.480 -3.524 6.025
O -2.883 -0.643 2.483
O -4.586 1.626 4.205
O -1.589 -2.393 4.587
O -3.292 -0.124 6.309
Pr -3.131 1.734 2.285
Pr -3.815 -2.056 0.766
Pr -3.153 2.259 5.964
Pr -3.837 -1.531 4.445
```

Values from the calculation:
The value obtained for the distance to the lowest polymorph of the same formula is 179.3 meV/atom. The density comes out at 7.686 g/cm3. The value obtained for the calculated volume is 15.06 Å³/atom. For the electronic total energy, the calculation gives -6.09 eV/atom. As for the symmetry: No. 29.

5.
Density functional theory data (PBE) for a relaxed KAuO3 crystal. Values from VASP.

Geometry as Quantum ESPRESSO input:
```
&SYSTEM
  ibrav = 0, nat = 10, ntyp = 3
/
ATOMIC_SPECIES
Au 196.97 Au.upf
K 39.10 K.upf
O 16.00 O.upf
CELL_PARAMETERS angstrom
4.575 -0.047 -4.434
5.759 2.333 1.408
4.934 -3.983 0.623
ATOMIC_POSITIONS angstrom
Au 3.817 -0.424 -0.601
Au 11.451 -1.273 -1.802
K 0.000 0.000 0.000
K 7.634 -0.849 -1.202
O 6.281 0.899 -2.650
O 9.237 1.226 -0.868
O 6.773 -0.097 1.181
O 8.495 -1.600 -3.584
O 6.032 -2.923 -1.535
O 8.988 -2.596 0.247
```

Values from the calculation:
The density comes out at 5.102 g/cm3. The value obtained for the calculated volume is 18.49 Å³/atom. For the electronic total energy, the calculation gives -3.93 eV/atom. As for the symmetry: No. 167.

6.
Density functional theory data (PBE) for a relaxed RbCd2As2 crystal. Values from VASP.

Geometry as Quantum ESPRESSO input:
```
&SYSTEM
  ibrav = 0, nat = 5, ntyp = 3
/
ATOMIC_SPECIES
As 74.92 As.upf
Cd 112.41 Cd.upf
Rb 85.47 Rb.upf
CELL_PARAMETERS angstrom
-6.473 -0.484 2.603
-5.562 3.425 -2.499
5.396 -3.945 -2.059
ATOMIC_POSITIONS angstrom
As -4.583 1.120 0.040
As -7.453 1.821 0.065
Cd -3.548 -1.479 0.298
Cd -3.092 0.475 -2.253
Rb 0.000 0.000 0.000
```

Values from the calculation:
The density comes out at 5.854 g/cm3. The value obtained for the calculated volume is 26.11 Å³/atom. For the electronic total energy, the calculation gives -2.67 eV/atom. As for the symmetry: No. 139.

Question: Which value of density does entry 2 give?
Answer: 7.841 g/cm3